A plane-wave DFT calculation with PBE was carried out for Ta3Fe2N after structural relaxation.

Properties
Crystal system: cubic
DOS(E_F) in states/eV per cell: 16.09
Formation energy from raw total energies in eV/atom: -0.45

```
Ta3Fe2N
1.0
6.905 0.000 0.000
0.000 6.905 0.000
0.000 0.000 6.905
Ta Fe N
12 8 4
Direct
0.045 0.125 0.795
0.125 0.795 0.045
0.205 0.545 0.375
0.295 0.455 0.875
0.375 0.205 0.545
0.455 0.875 0.295
0.545 0.375 0.205
0.625 0.705 0.955
0.705 0.955 0.625
0.795 0.045 0.125
0.875 0.295 0.455
0.955 0.625 0.705
0.074 0.926 0.426
0.176 0.176 0.176
0.324 0.824 0.676
0.426 0.074 0.926
0.574 0.574 0.574
0.676 0.324 0.824
0.824 0.676 0.324
0.926 0.426 0.074
0.125 0.375 0.625
0.375 0.625 0.125
0.625 0.125 0.375
0.875 0.875 0.875
```

=====

A plane-wave DFT calculation with PBE was carried out for TaFeN after structural relaxation.

Properties
Crystal system: monoclinic
DOS(E_F) in states/eV per cell: 6.73
Formation energy from raw total energies in eV/atom: -0.42

```
TaFeN
1.0
11.944 0.000 0.000
0.000 3.006 0.000
-0.298 0.000 3.954
Ta Fe N
4 4 4
Direct
0.000 0.000 0.000
0.241 0.500 0.035
0.500 0.500 0.000
0.741 0.000 0.035
0.105 0.500 0.503
0.397 0.000 0.483
0.605 0.000 0.503
0.897 0.500 0.483
0.158 0.000 0.292
0.367 0.000 0.966
0.658 0.500 0.292
0.867 0.500 0.966
```

=====

A plane-wave DFT calculation with PBE was carried out for TaFeTe2N after structural relaxation.

Properties
Crystal system: tetragonal
DOS(E_F) in states/eV per cell: 4.83
Formation energy from raw total energies in eV/atom: 0.52
E above lowest polymorph in kcal/mol of atoms: 0.13

```
TaFeTe2N
1.0
5.195 0.000 0.000
0.000 5.195 0.000
0.000 0.000 3.413
Ta Fe Te N
1 1 2 1
Direct
0.000 0.000 0.000
0.500 0.500 0.500
0.000 0.500 0.500
0.500 0.000 0.500
0.500 0.500 0.000
```

=====

A plane-wave DFT calculation with PBE was carried out for TaFeTe2N after structural relaxation.

Properties
Crystal system: tetragonal
DOS(E_F) in states/eV per cell: 7.00
Formation energy from raw total energies in eV/atom: 0.52
E above lowest polymorph in kcal/mol of atoms: 0.00

```
TaFeTe2N
1.0
5.549 0.000 0.000
0.000 5.549 0.000
0.000 0.000 3.871
Ta Fe Te N
1 1 2 1
Direct
0.000 0.000 0.000
0.500 0.500 0.500
0.000 0.500 0.000
0.500 0.000 0.000
0.000 0.000 0.500
```

=====

A plane-wave DFT calculation with PBE was carried out for Tb2Fe17N2 after structural relaxation.

Properties
Crystal system: monoclinic
DOS(E_F) in states/eV per cell: 15.81
Formation energy from raw total energies in eV/atom: -0.16

```
Tb2Fe17N2
1.0
4.841 -4.273 0.000
4.841 4.273 0.000
-0.977 0.000 6.450
Tb Fe N
2 17 2
Direct
0.159 0.159 0.345
0.841 0.841 0.655
0.000 0.500 0.000
0.155 0.155 0.856
0.155 0.647 0.340
0.208 0.792 0.000
0.216 0.502 0.718
0.353 0.845 0.660
0.404 0.404 0.095
0.498 0.784 0.282
0.500 0.000 0.000
0.500 0.500 0.500
0.502 0.216 0.718
0.596 0.596 0.905
0.647 0.155 0.340
0.784 0.498 0.282
0.792 0.208 0.000
0.845 0.353 0.660
0.845 0.845 0.144
0.000 0.500 0.500
0.500 0.000 0.500
```

=====

A plane-wave DFT calculation with PBE was carried out for Tb2Fe17N3 after structural relaxation.

Properties
Crystal system: trigonal
DOS(E_F) in states/eV per cell: 15.91
Formation energy from raw total energies in eV/atom: -0.23

```
Tb2Fe17N3
1.0
4.320 2.494 4.187
-4.320 2.494 4.187
0.000 -4.988 4.187
Tb Fe N
2 17 3
Direct
0.158 0.158 0.158
0.842 0.842 0.842
0.000 0.500 0.500
0.157 0.157 0.644
0.157 0.644 0.157
0.217 0.500 0.783
0.217 0.783 0.500
0.356 0.843 0.843
0.405 0.405 0.405
0.500 0.000 0.500
0.500 0.217 0.783
0.500 0.500 0.000
0.500 0.783 0.217
0.595 0.595 0.595
0.644 0.157 0.157
0.783 0.217 0.500
0.783 0.500 0.217
0.843 0.356 0.843
0.843 0.843 0.356
0.000 0.000 0.500
0.000 0.500 0.000
0.500 0.000 0.000
```

=====

A plane-wave DFT calculation with PBE was carried out for TbTiFe11N after structural relaxation.

Properties
Crystal system: orthorhombic
DOS(E_F) in states/eV per cell: 10.14
Formation energy from raw total energies in eV/atom: -0.18

```
TbTiFe11N
1.0
-2.405 4.300 4.267
2.405 -4.300 4.267
2.405 4.300 -4.267
Tb Ti Fe N
1 1 11 1
Direct
0.000 0.000 0.000
0.373 0.373 0.000
0.005 0.006 0.498
0.005 0.507 0.999
0.230 0.730 0.500
0.232 0.510 0.722
0.366 0.007 0.359
0.509 0.006 0.001
0.509 0.507 0.502
0.648 0.007 0.641
0.650 0.650 0.000
0.781 0.281 0.500
0.788 0.510 0.278
0.006 0.506 0.500
```

=====

A plane-wave DFT calculation with PBE was carried out for TbTi2FeN4 after structural relaxation.

Properties
Crystal system: orthorhombic
DOS(E_F) in states/eV per cell: 8.90
Formation energy from raw total energies in eV/atom: -1.22

```
TbTi2FeN4
1.0
1.549 -5.297 0.000
1.549 5.297 0.000
0.000 0.000 10.497
Tb Ti Fe N
2 4 2 8
Direct
0.107 0.893 0.750
0.893 0.107 0.250
0.369 0.631 0.546
0.369 0.631 0.954
0.631 0.369 0.046
0.631 0.369 0.454
0.156 0.844 0.250
0.844 0.156 0.750
0.000 0.000 0.000
0.000 0.000 0.500
0.268 0.732 0.113
0.268 0.732 0.387
0.439 0.561 0.750
0.561 0.439 0.250
0.732 0.268 0.613
0.732 0.268 0.887
```

=====

A plane-wave DFT calculation with PBE was carried out for Tb2FeWN5 after structural relaxation.

Properties
Crystal system: orthorhombic
DOS(E_F) in states/eV per cell: 4.94
Formation energy from raw total energies in eV/atom: -0.81

```
Tb2FeWN5
1.0
1.595 -6.871 0.000
1.595 6.871 0.000
0.000 0.000 9.808
Tb Fe W N
4 2 2 10
Direct
0.117 0.883 0.500
0.124 0.876 0.128
0.876 0.124 0.628
0.883 0.117 0.000
0.448 0.552 0.258
0.552 0.448 0.758
0.204 0.796 0.827
0.796 0.204 0.327
0.030 0.970 0.832
0.302 0.698 0.467
0.319 0.681 0.181
0.339 0.661 0.812
0.498 0.502 0.088
0.502 0.498 0.588
0.661 0.339 0.312
0.681 0.319 0.681
0.698 0.302 0.967
0.970 0.030 0.332
```

=====

A plane-wave DFT calculation with PBE was carried out for FeTc3N after structural relaxation.

Properties
Crystal system: cubic
DOS(E_F) in states/eV per cell: 6.51
Formation energy from raw total energies in eV/atom: 0.19
E above lowest polymorph in kcal/mol of atoms: 0.00

```
FeTc3N
1.0
3.981 0.000 0.000
0.000 3.981 0.000
0.000 0.000 3.981
Fe Tc N
1 3 1
Direct
0.000 0.000 0.000
0.000 0.500 0.500
0.500 0.000 0.500
0.500 0.500 0.000
0.500 0.500 0.500
```

=====

A plane-wave DFT calculation with PBE was carried out for FeTcN2 after structural relaxation.

Properties
Crystal system: cubic
DOS(E_F) in states/eV per cell: 18.44
Formation energy from raw total energies in eV/atom: 0.72
E above lowest polymorph in kcal/mol of atoms: 17.07

```
FeTcN2
1.0
5.183 0.000 0.000
0.000 5.183 0.000
0.000 0.000 5.183
Fe Tc N
4 4 8
Direct
0.000 0.000 0.000
0.000 0.500 0.500
0.500 0.000 0.500
0.500 0.500 0.000
0.000 0.000 0.500
0.000 0.500 0.000
0.500 0.000 0.000
0.500 0.500 0.500
0.250 0.250 0.250
0.250 0.250 0.750
0.250 0.750 0.250
0.250 0.750 0.750
0.750 0.250 0.250
0.750 0.250 0.750
0.750 0.750 0.250
0.750 0.750 0.750
```

=====

A plane-wave DFT calculation with PBE was carried out for FeTcN after structural relaxation.

Properties
Crystal system: trigonal
DOS(E_F) in states/eV per cell: 1.46
Formation energy from raw total energies in eV/atom: 0.20
E above lowest polymorph in kcal/mol of atoms: 0.00

```
FeTcN
1.0
3.002 0.000 0.000
-1.501 2.600 0.000
0.000 0.000 4.078
Fe Tc N
1 1 1
Direct
0.000 0.000 0.000
0.333 0.667 0.524
0.667 0.333 0.853
```